(1)
Compound: YTi4Cu3O12
Source: the Alexandria database
Functional: GGA-PBE
Structure: optimized geometry

Unit cell a=6.4718 b=6.4718 c=6.4718 alpha=109.47 beta=109.47 gamma=109.47
Site moments in Bohr magnetons follow the coordinates.
Fractional positions:
O  0.2961  0.1200  0.8239  0.05
O  0.1761  0.2961  0.4722  0.05
O  0.2961  0.4722  0.1761  0.05
O  0.5278  0.8239  0.7039  0.05
O  0.7039  0.8800  0.1761  0.05
O  0.8800  0.1761  0.7039  0.05
O  0.8239  0.7039  0.5278  0.05
O  0.7039  0.5278  0.8239  0.05
O  0.4722  0.1761  0.2961  0.05
O  0.1761  0.7039  0.8800  0.05
O  0.8239  0.2961  0.1200  0.05
O  0.1200  0.8239  0.2961  0.05
Y  0.0000  0.0000  0.0000  0.00
Ti  0.5000  0.0000  0.0000  0.02
Ti  0.5000  0.5000  0.5000  0.02
Ti  0.0000  0.5000  0.0000  0.02
Ti  0.0000  0.0000  0.5000  0.02
Cu  0.5000  0.5000  0.0000  0.43
Cu  0.5000  0.0000  0.5000  0.43
Cu  0.0000  0.5000  0.5000  0.43

Calculated values
- DFT total energy (eV/atom) = -7.861
- space-group type = Im-3

(2)
Compound: SrCa2W
Source: the Alexandria database
Functional: GGA-PBE
Structure: optimized geometry

Unit cell a=6.2428 b=6.2428 c=3.2540 alpha=90.00 beta=90.00 gamma=113.33
Fractional positions:
W  0.0000  0.5000  0.5000
Sr  0.5000  0.0000  0.5000
Ca  0.0000  0.0000  0.0000
Ca  0.5000  0.5000  0.0000

Calculated values
- space-group type = Cmmm
- ΔE_f (eV per atom) = 1.0663

(3)
Compound: CrTc2Pb
Source: the Alexandria database
Functional: GGA-PBE
Structure: optimized geometry

Unit cell a=4.5035 b=4.5035 c=4.5035 alpha=60.00 beta=60.00 gamma=60.00
Site moments in Bohr magnetons follow the coordinates.
Fractional positions:
Pb  0.5000  0.5000  0.5000  0.00
Tc  0.7500  0.7500  0.7500  0.58
Tc  0.2500  0.2500  0.2500  0.58
Cr  0.0000  0.0000  0.0000  -1.91

Calculated values
- space-group type = Fm-3m
- ΔE_f (eV per atom) = 0.5441

(4)
Compound: LiCa3S
Source: the Alexandria database
Functional: GGA-PBE
Structure: optimized geometry

Unit cell a=5.5184 b=5.5184 c=5.5184 alpha=90.00 beta=90.00 gamma=90.00
Fractional positions:
Ca  0.5000  0.0000  0.0000
Ca  0.0000  0.0000  0.5000
Ca  0.0000  0.5000  0.0000
Li  0.5000  0.5000  0.5000
S  0.0000  0.0000  0.0000

Calculated values
- DFT total energy (eV/atom) = -3.113
- space-group type = Pm-3m

(5)
Compound: BaSrGaS2
Source: the Alexandria database
Functional: GGA-PBE
Structure: optimized geometry

Unit cell a=5.4770 b=5.2118 c=5.4770 alpha=90.00 beta=90.00 gamma=90.00
Fractional positions:
S  0.5000  0.0000  0.0000
S  0.0000  0.0000  0.5000
Sr  0.0000  0.5000  0.0000
Ga  0.0000  0.0000  0.0000
Ba  0.5000  0.5000  0.5000

Calculated values
- DFT total energy (eV/atom) = -3.378
- space-group type = P4/mmm

(6)
Compound: Ac2ScH2O6
Source: the Alexandria database
Functional: GGA-PBE
Structure: optimized geometry

Unit cell a=5.3284 b=5.3284 c=6.0367 alpha=63.81 beta=63.81 gamma=60.00
Fractional positions:
Ac  0.7661  0.7661  0.7018
Ac  0.2339  0.2339  0.2982
O  0.7309  0.2588  0.7516
O  0.2588  0.7309  0.7516
O  0.2691  0.7412  0.2484
O  0.7412  0.7412  0.2484
O  0.2588  0.2588  0.7516
O  0.7412  0.2691  0.2484
Sc  0.0000  0.0000  0.0000
H  0.4221  0.4221  0.7336
H  0.5779  0.5779  0.2664

Calculated values
- DFT total energy (eV/atom) = -6.904
- space-group type = R-3m

(7)
Compound: CaSmAg6
Source: the Alexandria database
Functional: GGA-PBE
Structure: optimized geometry

Unit cell a=5.5380 b=5.5380 c=5.5380 alpha=90.00 beta=90.00 gamma=90.00
Fractional positions:
Ag  0.5000  0.2505  0.0000
Ag  0.5000  0.7495  0.0000
Ag  0.2505  0.0000  0.5000
Ag  0.0000  0.5000  0.7495
Ag  0.7495  0.0000  0.5000
Ag  0.0000  0.5000  0.2505
Ca  0.5000  0.5000  0.5000
Sm  0.0000  0.0000  0.0000

Calculated values
- space-group type = Pm-3
- ΔE_f (eV per atom) = -0.1815

(8)
Compound: LaPr8Y2
Source: the Alexandria database
Functional: GGA-PBE
Structure: optimized geometry

Unit cell a=6.1206 b=9.2927 c=9.6741 alpha=61.30 beta=74.09 gamma=55.20
Fractional positions:
Pr  0.7030  0.5764  0.0000
Pr  0.5000  0.7954  0.4093
Pr  0.1879  0.9005  0.7583
Pr  0.1879  0.6589  0.2417
Pr  0.8121  0.0995  0.2417
Pr  0.8121  0.3411  0.7583
Pr  0.5000  0.2046  0.5907
Pr  0.2970  0.4236  0.0000
La  0.5000  0.0000  0.0000
Y  0.0000  0.6891  0.6218
Y  0.0000  0.3109  0.3782

Calculated values
- space-group type = C2/m
- ΔE_f (eV per atom) = 0.1244